DFT (PBE) results for crystalline BeFe4Tc at its relaxed geometry.

a b c (Å): 4.616 4.616 4.616
angles (deg): 60.00 60.00 60.00
Fractional coordinates of all 6 atoms:
Fe (0.876, 0.375, 0.375)
Fe (0.375, 0.375, 0.876)
Fe (0.375, 0.375, 0.375)
Fe (0.375, 0.876, 0.375)
Tc (0.750, 0.750, 0.750)
Be (0.000, 0.000, 0.000)

Calculated values
Formation energy ... 187 meV per atom
Energy ... -46.82 eV per formula unit
N(E_F) ... 1.27 states/eV/atom

=====

DFT (PBE) results for crystalline Pm2Er2Sc5 at its relaxed geometry.

a b c (Å): 8.335 10.597 8.885
angles (deg): 126.61 117.97 90.00
Fractional coordinates of all 18 atoms:
Sc (0.013, 0.270, 0.500)
Sc (0.564, 0.413, 0.252)
Sc (0.812, 0.661, 0.748)
Sc (0.188, 0.913, 0.252)
Sc (0.096, 0.178, 0.801)
Sc (0.436, 0.161, 0.748)
Sc (0.904, 0.377, 0.199)
Sc (0.987, 0.770, 0.500)
Sc (0.205, 0.678, 0.801)
Sc (0.795, 0.877, 0.199)
Er (0.359, 0.425, 0.500)
Er (0.641, 0.925, 0.500)
Er (0.000, 0.046, 0.000)
Er (0.500, 0.546, 0.000)
Pm (0.225, 0.586, 0.207)
Pm (0.518, 0.880, 0.793)
Pm (0.482, 0.086, 0.207)
Pm (0.775, 0.380, 0.793)

Calculated values
Formation energy ... 192 meV per atom
Energy ... -48.56 eV per formula unit
N(E_F) ... 1.37 states/eV/atom

=====

DFT (PBE) results for crystalline Tb2YTc at its relaxed geometry.

a b c (Å): 3.437 3.437 11.100
angles (deg): 81.09 81.09 60.00
Fractional coordinates of all 4 atoms:
Tc (0.500, 0.500, 0.500)
Tb (0.895, 0.895, 0.314)
Tb (0.105, 0.105, 0.686)
Y (0.000, 0.000, 0.000)

Calculated values
Formation energy ... 290 meV per atom
Energy above the most stable polymorph in this dataset ... 376.9 meV per atom
Energy ... -24.93 eV per formula unit
N(E_F) ... 1.53 states/eV/atom

=====

DFT (PBE) results for crystalline Tb5Ir4 at its relaxed geometry.

a b c (Å): 4.292 5.682 9.495
angles (deg): 76.25 76.94 67.81
Fractional coordinates of all 9 atoms:
Ir (0.617, 0.383, 0.383)
Ir (0.449, 0.250, 0.851)
Ir (0.383, 0.617, 0.617)
Ir (0.551, 0.750, 0.149)
Tb (0.110, 0.177, 0.603)
Tb (0.000, 0.000, 0.000)
Tb (0.890, 0.823, 0.397)
Tb (0.756, 0.667, 0.821)
Tb (0.244, 0.333, 0.179)

Calculated values
Formation energy ... -744 meV per atom
Energy ... -65.30 eV per formula unit
N(E_F) ... 0.54 states/eV/atom